Below is an optimized crystal structure of Al2VF8, with properties calculated at the GGA+U level.

The calculation puts the calculated volume at 258 Å³/cell. The calculation puts the density of states at the Fermi level at 0.0 states/eV/cell. Its excess energy over the best structure of this formula in the dataset is 85 meV/atom. The final energy is -0.2152 hartree per atom.

The space group is C2/m (No. 12) and the conventional cell measures 7.527, 6.755 and 5.207 Å, with angles of 90.00, 102.53 and 90.00 degrees. The inequivalent atoms are Al at (0.194, 0.000, 0.477), V at (0.000, 0.500, 0.000), F at (0.044, 0.000, 0.720), F at (0.151, 0.323, 0.319) and F at (0.204, 0.500, 0.792).